KBaZn2W | PBE | optimized geometry Values from VASP.

Values from the calculation:
ΔE_f = 1983 meV per atom
M_tot = 0.861 μB/atom

Geometry as Quantum ESPRESSO input:
```
&SYSTEM
  ibrav = 0, nat = 5, ntyp = 4
/
ATOMIC_SPECIES
Zn 65.41 Zn.upf
W 183.84 W.upf
Ba 137.33 Ba.upf
K 39.10 K.upf
CELL_PARAMETERS angstrom
-0.426 -3.284 -4.988
-5.569 -3.226 2.600
-3.548 4.161 -2.437
ATOMIC_POSITIONS crystal
Zn 0.000 0.000 0.500
Zn 0.500 0.000 0.000
W 0.500 0.500 0.500
Ba 0.000 0.000 0.000
K 0.000 0.500 0.000
```